No. 1
# Rb4Tb3ScSe8 (PBE-GGA, relaxed)
data_Rb4Tb3ScSe8
_chemical_formula_sum 'Rb12 Tb9 Sc3 Se24'
_cell_length_a 8.4163
_cell_length_b 8.4163
_cell_length_c 23.9469
_cell_angle_alpha 90.00
_cell_angle_beta 90.00
_cell_angle_gamma 120.00
_symmetry_space_group_name_H-M 'R -3 m'
_symmetry_Int_Tables_number 166
_symmetry_space_group_name_Hall '-R 3 2"'
loop_
_atom_site_label
_atom_site_fract_x
_atom_site_fract_y
_atom_site_fract_z
Rb1 0.0000 0.0000 0.0000
Rb2 0.0000 0.5000 0.0000
Tb1 0.0000 0.5000 0.5000
Sc1 0.0000 0.0000 0.5000
Se1 0.0000 0.0000 0.2326
Se2 0.0113 0.5057 0.2307
# Size of the total moment (μB per atom): 0.00
# Formation energy without anion corrections (meV/atom): -1697
# Crystal system: trigonal
# Total energy (Ry per atom): -0.36347
# Mass density (g/cm3): 5.1



No. 2
# MgCrSi2 (PBE-GGA, relaxed)
data_MgCrSi2
_chemical_formula_sum 'Mg4 Cr4 Si8'
_cell_length_a 4.190
_cell_length_b 4.190
_cell_length_c 16.867
_cell_angle_alpha 90.00
_cell_angle_beta 90.00
_cell_angle_gamma 90.00
_symmetry_space_group_name_H-M 'I -4 2 d'
_symmetry_Int_Tables_number 122
_symmetry_space_group_name_Hall 'I -4 2bw'
loop_
_atom_site_label
_atom_site_fract_x
_atom_site_fract_y
_atom_site_fract_z
Mg1 0.000 0.000 0.000
Cr1 0.000 0.000 0.500
Si1 0.160 0.250 0.625
# Size of the total moment (μB per atom): 0.75
# Formation energy without anion corrections (meV/atom): 366
# Crystal system: tetragonal
# Total energy (Ry per atom): -0.37855
# Mass density (g/cm3): 3.0



No. 3
# CePmBr4 (PBE-GGA, relaxed)
data_CePmBr4
_chemical_formula_sum 'Ce2 Pm2 Br8'
_cell_length_a 16.510
_cell_length_b 3.985
_cell_length_c 7.013
_cell_angle_alpha 90.00
_cell_angle_beta 114.46
_cell_angle_gamma 90.00
_symmetry_space_group_name_H-M 'C 1 2/m 1'
_symmetry_Int_Tables_number 12
loop_
_symmetry_equiv_pos_as_xyz
'x,y,z'
'-x,-y,-z'
'-x,y,-z'
'x,-y,z'
'x+1/2,y+1/2,z'
'-x+1/2,-y+1/2,-z'
'-x+1/2,y+1/2,-z'
'x+1/2,-y+1/2,z'
loop_
_atom_site_label
_atom_site_fract_x
_atom_site_fract_y
_atom_site_fract_z
Ce1 0.000 0.000 0.000
Pm1 0.000 0.500 0.500
Br1 0.124 0.000 0.456
Br2 0.126 0.500 0.948
# Size of the total moment (μB per atom): 0.30
# Energy above the lowest structure with this stoichiometry (eV/atom): 0.0000
# Formation energy without anion corrections (meV/atom): -1627
# Crystal system: monoclinic
# Total energy (Ry per atom): -0.33247
# Mass density (g/cm3): 4.8